Entry 1:
# TcSb2As, optimized geometry, DFT PBE-GGA
data_TcSb2As
_chemical_formula_sum 'Tc2 Sb4 As2'
_cell_length_a 3.205
_cell_length_b 4.480
_cell_length_c 12.266
_cell_angle_alpha 90.00
_cell_angle_beta 90.00
_cell_angle_gamma 90.00
_symmetry_space_group_name_H-M 'I m m 2'
_symmetry_Int_Tables_number 44
_symmetry_space_group_name_Hall 'I 2 -2'
loop_
_atom_site_label
_atom_site_type_symbol
_atom_site_fract_x
_atom_site_fract_y
_atom_site_fract_z
Tc1 Tc 0.000 0.000 0.000
Sb1 Sb 0.000 0.000 0.523
Sb2 Sb 0.000 0.500 0.706
As1 As 0.000 0.500 0.338
# Offset from the most stable computed form = 0.67 eV per formula unit
# Formation energy (no corrections) = 0.2193 eV/atom


Entry 2:
# La4PIBr2, optimized geometry, DFT PBE-GGA
data_La4PIBr2
_chemical_formula_sum 'La4 P1 I1 Br2'
_cell_length_a 7.301
_cell_length_b 4.248
_cell_length_c 8.190
_cell_angle_alpha 90.00
_cell_angle_beta 107.72
_cell_angle_gamma 90.00
_symmetry_space_group_name_H-M 'P 1 2/m 1'
_symmetry_Int_Tables_number 10
_symmetry_space_group_name_Hall '-P 2y'
loop_
_atom_site_label
_atom_site_type_symbol
_atom_site_fract_x
_atom_site_fract_y
_atom_site_fract_z
La1 La 0.225 0.000 0.208
La2 La 0.249 0.500 0.787
P1 P 0.000 0.500 0.000
I1 I 0.000 0.000 0.500
Br1 Br 0.500 0.000 0.000
Br2 Br 0.500 0.500 0.500
# Formation energy (no corrections) = -1.3348 eV/atom


Entry 3:
# Ho2Sc6Ga, optimized geometry, DFT PBE-GGA
data_Ho2Sc6Ga
_chemical_formula_sum 'Ho4 Sc12 Ga2'
_cell_length_a 16.088
_cell_length_b 8.827
_cell_length_c 3.242
_cell_angle_alpha 90.00
_cell_angle_beta 95.57
_cell_angle_gamma 90.00
_symmetry_space_group_name_H-M 'C 1 2/m 1'
_symmetry_Int_Tables_number 12
_symmetry_space_group_name_Hall '-C 2y'
loop_
_atom_site_label
_atom_site_type_symbol
_atom_site_fract_x
_atom_site_fract_y
_atom_site_fract_z
Ho1 Ho 0.170 0.000 0.436
Sc1 Sc 0.000 0.221 0.500
Sc2 Sc 0.164 0.332 0.988
Ga1 Ga 0.000 0.500 0.000
# Energy of formation = 0.024 eV per atom


Entry 4:
# TbPrHo2, optimized geometry, DFT PBE-GGA
data_TbPrHo2
_chemical_formula_sum 'Tb3 Pr3 Ho6'
_cell_length_a 3.5954
_cell_length_b 3.5954
_cell_length_c 34.8590
_cell_angle_alpha 90.00
_cell_angle_beta 90.00
_cell_angle_gamma 120.00
_symmetry_space_group_name_H-M 'R 3 m'
_symmetry_Int_Tables_number 160
_symmetry_space_group_name_Hall 'R 3 -2"'
loop_
_atom_site_label
_atom_site_type_symbol
_atom_site_fract_x
_atom_site_fract_y
_atom_site_fract_z
Tb1 Tb 0.0000 0.0000 0.0000
Pr1 Pr 0.0000 0.0000 0.8340
Ho1 Ho 0.0000 0.0000 0.4150
Ho2 Ho 0.0000 0.0000 0.5852
# Energy of formation = 0.021 eV per atom
# Offset from the most stable computed form = 0.09 eV per formula unit


Entry 5:
# Tb2SmTm12, optimized geometry, DFT PBE-GGA
data_Tb2SmTm12
_chemical_formula_sum 'Tb8 Sm4 Tm48'
_cell_length_a 7.058
_cell_length_b 11.085
_cell_length_c 23.837
_cell_angle_alpha 90.00
_cell_angle_beta 94.28
_cell_angle_gamma 90.00
_symmetry_space_group_name_H-M 'C 1 2/m 1'
_symmetry_Int_Tables_number 12
_symmetry_space_group_name_Hall '-C 2y'
loop_
_atom_site_label
_atom_site_type_symbol
_atom_site_fract_x
_atom_site_fract_y
_atom_site_fract_z
Tb1 Tb 0.069 0.000 0.282
Tb2 Tb 0.070 0.500 0.283
Sm1 Sm 0.249 0.000 0.000
Tm1 Tm 0.017 0.251 0.068
Tm2 Tm 0.035 0.000 0.137
Tm3 Tm 0.035 0.500 0.138
Tm4 Tm 0.111 0.251 0.445
Tm5 Tm 0.144 0.000 0.576
Tm6 Tm 0.145 0.500 0.576
Tm7 Tm 0.168 0.250 0.670
Tm8 Tm 0.201 0.250 0.807
# Energy of formation = 0.113 eV per atom


Entry 6:
# NaAcYAl, optimized geometry, DFT PBE-GGA
data_NaAcYAl
_chemical_formula_sum 'Na4 Ac4 Y4 Al4'
_cell_length_a 7.838
_cell_length_b 7.838
_cell_length_c 7.838
_cell_angle_alpha 90.00
_cell_angle_beta 90.00
_cell_angle_gamma 90.00
_symmetry_space_group_name_H-M 'F -4 3 m'
_symmetry_Int_Tables_number 216
_symmetry_space_group_name_Hall 'F -4 2 3'
loop_
_atom_site_label
_atom_site_type_symbol
_atom_site_fract_x
_atom_site_fract_y
_atom_site_fract_z
Na1 Na 0.000 0.000 0.000
Ac1 Ac 0.250 0.250 0.250
Y1 Y 0.250 0.250 0.750
Al1 Al 0.000 0.000 0.500
# Energy of formation = -0.019 eV per atom


Entry 7:
# Ga2AgIr, optimized geometry, DFT PBE-GGA
data_Ga2AgIr
_chemical_formula_sum 'Ga8 Ag4 Ir4'
_cell_length_a 5.901
_cell_length_b 5.901
_cell_length_c 11.122
_cell_angle_alpha 90.00
_cell_angle_beta 90.00
_cell_angle_gamma 90.00
_symmetry_space_group_name_H-M 'I -4 2 d'
_symmetry_Int_Tables_number 122
_symmetry_space_group_name_Hall 'I -4 2bw'
loop_
_atom_site_label
_atom_site_type_symbol
_atom_site_fract_x
_atom_site_fract_y
_atom_site_fract_z
Ga1 Ga 0.214 0.250 0.125
Ag1 Ag 0.000 0.000 0.500
Ir1 Ir 0.000 0.000 0.000
# Energy of formation = 0.350 eV per atom
# Offset from the most stable computed form = 1.97 eV per formula unit


Entry 8:
# TaV2H, optimized geometry, DFT PBE-GGA
data_TaV2H
_chemical_formula_sum 'Ta3 V6 H3'
_cell_length_a 2.7633
_cell_length_b 2.7633
_cell_length_c 22.6737
_cell_angle_alpha 90.00
_cell_angle_beta 90.00
_cell_angle_gamma 120.00
_symmetry_space_group_name_H-M 'R -3 m'
_symmetry_Int_Tables_number 166
_symmetry_space_group_name_Hall '-R 3 2"'
loop_
_atom_site_label
_atom_site_type_symbol
_atom_site_fract_x
_atom_site_fract_y
_atom_site_fract_z
Ta1 Ta 0.0000 0.0000 0.0000
V1 V 0.0000 0.0000 0.1135
H1 H 0.0000 0.0000 0.5000
# Offset from the most stable computed form = 1.31 eV per formula unit


Number 1: DOS at the Fermi energy 0.683 states/eV per atom. Number 2: DOS at the Fermi energy 0.739 states/eV per atom. Number 3: DOS at the Fermi energy 1.470 states/eV per atom. Number 4: DOS at the Fermi energy 1.385 states/eV per atom. Number 5: DOS at the Fermi energy 1.740 states/eV per atom. Number 6: DOS at the Fermi energy 1.033 states/eV per atom. Number 7: DOS at the Fermi energy 0.440 states/eV per atom. Number 8: DOS at the Fermi energy 1.015 states/eV per atom.